# ErSc2HgC, optimized geometry, DFT PBE-GGA
# **Calculated formation energy**: -0.502 eV per atom
data_ErSc2HgC
_chemical_formula_sum 'Er1 Sc2 Hg1 C1'
_cell_length_a 4.536
_cell_length_b 4.536
_cell_length_c 4.881
_cell_angle_alpha 90.00
_cell_angle_beta 90.00
_cell_angle_gamma 90.00
_space_group_name_H-M_alt 'P 4/m m m'
_space_group_IT_number 123
_space_group_name_Hall '-P 4 2'
loop_
_atom_site_label
_atom_site_type_symbol
_atom_site_fract_x
_atom_site_fract_y
_atom_site_fract_z
_atom_site_occupancy
Er1 Er 0.000 0.000 0.000 1
Sc1 Sc 0.000 0.500 0.500 1
Hg1 Hg 0.500 0.500 0.000 1
C1 C 0.000 0.000 0.500 1